# 1
Density functional theory data (GGA-PBE) for a geometry-optimized Al5Tl3 structure.

Geometry as POSCAR:
```
Al5Tl3
1.0
-0.668 5.634 3.183
-5.162 0.710 -3.894
-2.461 -1.936 2.910
Tl Al
3 5
direct
0.244 0.756 0.500
0.756 0.244 0.500
0.500 0.500 0.000
0.000 0.500 0.000
0.500 0.000 0.000
0.000 0.000 0.000
0.773 0.773 0.500
0.227 0.227 0.500
```

Results
Formation energy from the elements = 0.304 eV/atom
Size of the total moment = 0.0 Bohr magnetons per cell


# 2
Density functional theory data (GGA-PBE) for a geometry-optimized AlTl2 structure.

Geometry as POSCAR:
```
AlTl2
1.0
0.550 -3.699 4.803
-2.304 5.633 -0.093
-4.083 -3.013 -3.362
Tl Al
4 2
direct
0.656 0.156 0.812
0.344 0.844 0.188
0.156 0.344 0.500
0.844 0.656 0.500
0.750 0.750 0.000
0.250 0.250 0.000
```

Results
Formation energy from the elements = 0.141 eV/atom
Size of the total moment = 0.0 Bohr magnetons per cell
E above lowest polymorph = 0.000 eV/atom


# 3
Density functional theory data (GGA-PBE) for a geometry-optimized AlTl3 structure.

Geometry as POSCAR:
```
AlTl3
1.0
-2.959 2.379 -2.964
-0.970 -4.104 -2.327
-3.675 -0.832 3.000
Tl Al
3 1
direct
0.500 0.500 0.000
0.500 0.000 0.500
0.000 0.500 0.500
0.000 0.000 0.000
```

Results
Formation energy from the elements = 0.231 eV/atom
Size of the total moment = 0.0 Bohr magnetons per cell
E above lowest polymorph = 0.085 eV/atom


# 4
Density functional theory data (GGA-PBE) for a geometry-optimized AlTl3 structure.

Geometry as POSCAR:
```
AlTl3
1.0
3.475 0.000 0.000
0.000 3.846 0.000
0.000 0.000 8.285
Tl Al
3 1
direct
0.500 0.500 0.214
0.000 0.000 0.500
0.500 0.500 0.786
0.000 0.000 0.000
```

Results
Formation energy from the elements = 0.147 eV/atom
Size of the total moment = 0.0 Bohr magnetons per cell
E above lowest polymorph = 0.001 eV/atom


# 5
Density functional theory data (GGA-PBE) for a geometry-optimized Al3Tl4 structure.

Geometry as POSCAR:
```
Al3Tl4
1.0
2.851 -4.939 0.000
2.851 4.939 0.000
0.000 0.000 6.331
Al Tl
3 4
direct
0.000 0.500 0.000
0.500 0.000 0.000
0.500 0.500 0.000
0.000 0.000 0.251
0.667 0.333 0.500
0.333 0.667 0.500
0.000 0.000 0.749
```

Results
Formation energy from the elements = 0.188 eV/atom
Size of the total moment = 0.0 Bohr magnetons per cell


# 6
Density functional theory data (GGA-PBE) for a geometry-optimized AlTl3 structure.

Geometry as POSCAR:
```
AlTl3
1.0
-2.793 2.063 5.152
-1.194 -5.866 -1.661
5.750 2.089 -1.082
Tl Al
3 1
direct
0.000 0.500 0.500
0.500 0.500 0.000
0.500 0.000 0.500
0.000 0.000 0.000
```

Results
Formation energy from the elements = 0.195 eV/atom
Size of the total moment = 0.0 Bohr magnetons per cell
E above lowest polymorph = 0.049 eV/atom


# 7
Density functional theory data (GGA-PBE) for a geometry-optimized AlTl3 structure.

Geometry as POSCAR:
```
AlTl3
1.0
-0.014 -4.265 -3.942
5.470 1.952 -0.046
0.819 -2.238 2.419
Al Tl
1 3
direct
0.000 0.000 0.000
0.500 0.000 0.500
0.500 0.500 0.000
0.000 0.500 0.500
```

Results
Formation energy from the elements = 0.199 eV/atom
Size of the total moment = 0.0 Bohr magnetons per cell
E above lowest polymorph = 0.052 eV/atom


# 8
Density functional theory data (GGA-PBE) for a geometry-optimized AlTl3 structure.

Geometry as POSCAR:
```
AlTl3
1.0
-5.552 1.565 -3.878
4.871 -4.607 -1.834
-2.923 -4.099 2.531
Tl Al
6 2
direct
0.076 0.426 0.750
0.925 0.075 0.250
0.924 0.574 0.250
0.075 0.925 0.750
0.574 0.924 0.750
0.426 0.076 0.250
0.547 0.453 0.750
0.453 0.547 0.250
```

Results
Formation energy from the elements = 0.190 eV/atom
Size of the total moment = 0.0 Bohr magnetons per cell
E above lowest polymorph = 0.043 eV/atom


# 9
Density functional theory data (GGA-PBE) for a geometry-optimized Al4Tl5 structure.

Geometry as POSCAR:
```
Al4Tl5
1.0
4.476 -4.773 -4.054
-6.086 0.923 4.622
-3.545 2.871 -6.200
Tl Al
5 4
direct
0.330 0.670 0.000
0.670 0.670 0.341
0.000 0.000 0.000
0.670 0.330 0.000
0.330 0.330 0.659
0.634 0.000 0.634
0.366 0.000 0.366
0.000 0.634 0.634
0.000 0.366 0.366
```

Results
Formation energy from the elements = 0.224 eV/atom
Size of the total moment = 0.0 Bohr magnetons per cell


# 10
Density functional theory data (GGA-PBE) for a geometry-optimized AlTl3 structure.

Geometry as POSCAR:
```
AlTl3
1.0
-0.206 2.927 -1.535
0.981 -2.534 -4.965
-5.873 -0.805 -0.749
Tl Al
3 1
direct
0.500 0.000 0.507
0.500 0.500 0.827
0.000 0.500 0.312
0.000 0.000 0.021
```

Results
Formation energy from the elements = 0.194 eV/atom
Size of the total moment = 0.0 Bohr magnetons per cell
E above lowest polymorph = 0.048 eV/atom


# 11
Density functional theory data (GGA-PBE) for a geometry-optimized AlTl2 structure.

Geometry as POSCAR:
```
AlTl2
1.0
4.958 0.000 0.000
2.479 4.293 0.000
2.479 1.431 4.048
Tl Al
2 1
direct
0.250 0.250 0.250
0.750 0.750 0.750
0.000 0.000 0.000
```

Results
Formation energy from the elements = 0.229 eV/atom
Size of the total moment = 0.0 Bohr magnetons per cell
E above lowest polymorph = 0.087 eV/atom


# 12
Density functional theory data (GGA-PBE) for a geometry-optimized AlTl3 structure.

Geometry as POSCAR:
```
AlTl3
1.0
6.805 0.000 0.000
-3.402 5.893 0.000
0.000 0.000 11.083
Tl Al
12 4
direct
0.500 0.500 0.500
0.675 0.837 0.750
0.163 0.325 0.750
0.500 0.000 0.500
0.500 0.000 0.000
0.837 0.163 0.250
0.000 0.500 0.000
0.000 0.500 0.500
0.500 0.500 0.000
0.325 0.163 0.250
0.837 0.675 0.250
0.163 0.837 0.750
0.333 0.667 0.250
0.667 0.333 0.750
0.000 0.000 0.000
0.000 0.000 0.500
```

Results
Formation energy from the elements = 0.200 eV/atom
Size of the total moment = 0.0 Bohr magnetons per cell
E above lowest polymorph = 0.053 eV/atom


# 13
Density functional theory data (GGA-PBE) for a geometry-optimized Al5Tl4 structure.

Geometry as POSCAR:
```
Al5Tl4
1.0
9.134 0.000 0.000
-4.567 7.910 0.000
0.000 0.000 5.953
Tl Al
8 10
direct
0.677 0.000 0.750
0.000 0.323 0.250
0.323 0.000 0.250
0.000 0.000 0.500
0.323 0.323 0.750
0.000 0.000 0.000
0.000 0.677 0.750
0.677 0.677 0.250
0.333 0.667 0.000
0.667 0.333 0.000
0.363 0.000 0.750
0.000 0.637 0.250
0.333 0.667 0.500
0.000 0.363 0.750
0.667 0.333 0.500
0.363 0.363 0.250
0.637 0.637 0.750
0.637 0.000 0.250
```

Results
Formation energy from the elements = 0.338 eV/atom
Size of the total moment = 0.0 Bohr magnetons per cell


# 14
Density functional theory data (GGA-PBE) for a geometry-optimized AlTl3 structure.

Geometry as POSCAR:
```
AlTl3
1.0
5.843 0.001 0.000
1.840 5.546 0.000
-3.842 -2.773 3.419
Tl Al
3 1
direct
0.250 0.750 0.500
0.500 0.500 0.000
0.750 0.250 0.500
0.000 0.000 0.000
```

Results
Formation energy from the elements = 0.210 eV/atom
Size of the total moment = 0.0 Bohr magnetons per cell
E above lowest polymorph = 0.064 eV/atom


# 15
Density functional theory data (GGA-PBE) for a geometry-optimized AlTl3 structure.

Geometry as POSCAR:
```
AlTl3
1.0
5.333 0.000 0.000
0.000 3.291 0.085
0.000 1.615 6.391
Tl Al
3 1
direct
0.500 0.138 0.236
0.000 0.500 0.500
0.500 0.862 0.764
0.000 0.000 0.000
```

Results
Formation energy from the elements = 0.176 eV/atom
Size of the total moment = 0.0 Bohr magnetons per cell
E above lowest polymorph = 0.030 eV/atom


# 16
Density functional theory data (GGA-PBE) for a geometry-optimized AlTl2 structure.

Geometry as POSCAR:
```
AlTl2
1.0
3.218 0.000 0.000
0.000 7.156 0.000
0.000 0.000 7.283
Tl Al
4 2
direct
0.500 0.678 0.857
0.000 0.178 0.643
0.000 0.822 0.357
0.500 0.322 0.143
0.000 0.000 0.000
0.500 0.500 0.500
```

Results
Formation energy from the elements = 0.235 eV/atom
Size of the total moment = 0.0 Bohr magnetons per cell
E above lowest polymorph = 0.094 eV/atom


# 17
Density functional theory data (GGA-PBE) for a geometry-optimized AlTl2 structure.

Geometry as POSCAR:
```
AlTl2
1.0
7.236 0.000 0.000
-3.618 6.267 0.000
0.000 0.000 8.044
Al Tl
4 8
direct
0.333 0.667 0.081
0.667 0.333 0.919
0.333 0.667 0.419
0.667 0.333 0.581
0.372 0.186 0.250
0.000 0.000 0.500
0.186 0.814 0.750
0.186 0.372 0.750
0.814 0.628 0.250
0.628 0.814 0.750
0.814 0.186 0.250
0.000 0.000 0.000
```

Results
Formation energy from the elements = 0.424 eV/atom
Size of the total moment = 0.0 Bohr magnetons per cell
E above lowest polymorph = 0.283 eV/atom


# 18
Density functional theory data (GGA-PBE) for a geometry-optimized AlTl4 structure.

Geometry as POSCAR:
```
AlTl4
1.0
5.481 0.000 0.000
0.000 5.481 0.000
0.000 0.000 5.481
Tl Al
4 1
direct
0.500 0.000 0.500
0.500 0.500 0.000
0.000 0.500 0.500
0.000 0.000 0.000
0.500 0.500 0.500
```

Results
Formation energy from the elements = 0.265 eV/atom
Size of the total moment = 0.0 Bohr magnetons per cell
E above lowest polymorph = 0.000 eV/atom


# 19
Density functional theory data (GGA-PBE) for a geometry-optimized AlTl3 structure.

Geometry as POSCAR:
```
AlTl3
1.0
5.402 0.000 0.000
2.701 4.678 0.000
2.701 1.559 4.411
Al Tl
1 3
direct
0.000 0.000 0.000
0.750 0.750 0.750
0.250 0.250 0.250
0.500 0.500 0.500
```

Results
Formation energy from the elements = 0.184 eV/atom
Size of the total moment = 0.0 Bohr magnetons per cell
E above lowest polymorph = 0.038 eV/atom


# 20
Density functional theory data (GGA-PBE) for a geometry-optimized AlTl3 structure.

Geometry as POSCAR:
```
AlTl3
1.0
5.435 0.000 0.000
0.000 5.765 0.000
0.000 0.000 7.144
Tl Al
6 2
direct
0.500 0.811 0.750
0.000 0.189 0.750
0.500 0.811 0.250
0.500 0.327 0.000
0.000 0.673 0.500
0.000 0.189 0.250
0.000 0.694 0.000
0.500 0.306 0.500
```

Results
Formation energy from the elements = 0.189 eV/atom
Size of the total moment = 0.0 Bohr magnetons per cell
E above lowest polymorph = 0.043 eV/atom